Entry 1:
A plane-wave DFT calculation with PBE was carried out for an optimized crystal structure of Ta6Nb3Te2S3.

Calculated values
Raw formation energy in kJ/mol of formula units: -721
SG: P2_1/m, No. 11
Volume in Å³/cell: 541.5
D(E_F) in states/eV per cell: 14.53

The structure in CIF format:
```
data_Ta6Nb3Te2S3
_symmetry_space_group_name_H-M 'P 1'
_symmetry_Int_Tables_number 1
_cell_length_a 3.436
_cell_length_b 12.341
_cell_length_c 13.761
_cell_angle_alpha 68.11
_cell_angle_beta 90.00
_cell_angle_gamma 90.00
loop_
_symmetry_equiv_pos_as_xyz
'x,y,z'
loop_
_atom_site_label
_atom_site_type_symbol
_atom_site_fract_x
_atom_site_fract_y
_atom_site_fract_z
Ta1 Ta 0.250 0.666 0.721
Ta2 Ta 0.750 0.334 0.279
Ta3 Ta 0.250 0.254 0.806
Ta4 Ta 0.750 0.746 0.194
Ta5 Ta 0.250 0.481 0.591
Ta6 Ta 0.750 0.519 0.409
Ta7 Ta 0.250 0.544 0.236
Ta8 Ta 0.750 0.456 0.764
Ta9 Ta 0.250 0.715 0.369
Ta10 Ta 0.750 0.285 0.631
Ta11 Ta 0.250 0.323 0.451
Ta12 Ta 0.750 0.677 0.549
Nb1 Nb 0.250 0.094 0.411
Nb2 Nb 0.750 0.906 0.589
Nb3 Nb 0.250 0.446 0.938
Nb4 Nb 0.750 0.554 0.062
Nb5 Nb 0.250 0.081 0.651
Nb6 Nb 0.750 0.919 0.349
Te1 Te 0.250 0.942 0.170
Te2 Te 0.750 0.058 0.830
Te3 Te 0.250 0.755 0.023
Te4 Te 0.750 0.245 0.977
S1 S 0.250 0.838 0.489
S2 S 0.750 0.162 0.511
S3 S 0.250 0.391 0.135
S4 S 0.750 0.609 0.865
S5 S 0.250 0.863 0.732
S6 S 0.750 0.137 0.268
```

Entry 2:
A plane-wave DFT calculation with PBE was carried out for an optimized crystal structure of TaNb2Tl2S6.

Calculated values
Raw formation energy in kJ/mol of formula units: -909
SG: C2/m, No. 12
Volume in Å³/cell: 252.3
D(E_F) in states/eV per cell: 5.45

The structure in CIF format:
```
data_TaNb2Tl2S6
_symmetry_space_group_name_H-M 'P 1'
_symmetry_Int_Tables_number 1
_cell_length_a 6.015
_cell_length_b 6.015
_cell_length_c 8.331
_cell_angle_alpha 96.11
_cell_angle_beta 96.11
_cell_angle_gamma 120.99
loop_
_symmetry_equiv_pos_as_xyz
'x,y,z'
loop_
_atom_site_label
_atom_site_type_symbol
_atom_site_fract_x
_atom_site_fract_y
_atom_site_fract_z
Ta1 Ta 0.000 0.000 0.500
Nb1 Nb 0.361 0.639 0.500
Nb2 Nb 0.639 0.361 0.500
Tl1 Tl 0.826 0.174 0.000
Tl2 Tl 0.174 0.826 0.000
S1 S 0.741 0.741 0.704
S2 S 0.049 0.387 0.679
S3 S 0.259 0.259 0.296
S4 S 0.387 0.049 0.679
S5 S 0.951 0.613 0.321
S6 S 0.613 0.951 0.321
```

Entry 3:
A plane-wave DFT calculation with PBE was carried out for an optimized crystal structure of Ta2NbTlS.

Calculated values
Raw formation energy in kJ/mol of formula units: 1204
SG: P4/mmm, No. 123
Volume in Å³/cell: 135.5
D(E_F) in states/eV per cell: 8.71

The structure in CIF format:
```
data_Ta2NbTlS
_symmetry_space_group_name_H-M 'P 1'
_symmetry_Int_Tables_number 1
_cell_length_a 5.108
_cell_length_b 5.193
_cell_length_c 5.108
_cell_angle_alpha 90.00
_cell_angle_beta 90.00
_cell_angle_gamma 90.00
loop_
_symmetry_equiv_pos_as_xyz
'x,y,z'
loop_
_atom_site_label
_atom_site_type_symbol
_atom_site_fract_x
_atom_site_fract_y
_atom_site_fract_z
S1 S 0.500 0.500 0.500
Tl1 Tl 0.000 0.000 0.000
Nb1 Nb 0.000 0.500 0.000
Ta1 Ta 0.000 0.000 0.500
Ta2 Ta 0.500 0.000 0.000
```

Entry 4:
A plane-wave DFT calculation with PBE was carried out for an optimized crystal structure of Ta2NbTl2S6.

Calculated values
Raw formation energy in kJ/mol of formula units: -894
SG: C2/m, No. 12
Volume in Å³/cell: 252.2
D(E_F) in states/eV per cell: 6.22

The structure in CIF format:
```
data_Ta2NbTl2S6
_symmetry_space_group_name_H-M 'P 1'
_symmetry_Int_Tables_number 1
_cell_length_a 6.002
_cell_length_b 6.002
_cell_length_c 8.370
_cell_angle_alpha 95.79
_cell_angle_beta 95.79
_cell_angle_gamma 121.28
loop_
_symmetry_equiv_pos_as_xyz
'x,y,z'
loop_
_atom_site_label
_atom_site_type_symbol
_atom_site_fract_x
_atom_site_fract_y
_atom_site_fract_z
Ta1 Ta 0.360 0.640 0.500
Ta2 Ta 0.640 0.360 0.500
Nb1 Nb 0.000 0.000 0.500
Tl1 Tl 0.829 0.171 0.000
Tl2 Tl 0.171 0.829 0.000
S1 S 0.733 0.733 0.703
S2 S 0.046 0.391 0.678
S3 S 0.267 0.267 0.297
S4 S 0.391 0.046 0.678
S5 S 0.954 0.609 0.322
S6 S 0.609 0.954 0.322
```

Entry 5:
A plane-wave DFT calculation with PBE was carried out for an optimized crystal structure of TaNbTl2S.

Calculated values
Raw formation energy in kJ/mol of formula units: 547
SG: P4/mmm, No. 123
Volume in Å³/cell: 136.7
D(E_F) in states/eV per cell: 7.00

The structure in CIF format:
```
data_TaNbTl2S
_symmetry_space_group_name_H-M 'P 1'
_symmetry_Int_Tables_number 1
_cell_length_a 5.505
_cell_length_b 4.512
_cell_length_c 5.505
_cell_angle_alpha 90.00
_cell_angle_beta 90.00
_cell_angle_gamma 90.00
loop_
_symmetry_equiv_pos_as_xyz
'x,y,z'
loop_
_atom_site_label
_atom_site_type_symbol
_atom_site_fract_x
_atom_site_fract_y
_atom_site_fract_z
S1 S 0.000 0.500 0.000
Tl1 Tl 0.000 0.000 0.500
Tl2 Tl 0.500 0.000 0.000
Nb1 Nb 0.500 0.500 0.500
Ta1 Ta 0.000 0.000 0.000
```

Entry 6:
A plane-wave DFT calculation with PBE was carried out for an optimized crystal structure of Tb2NbS5.

Calculated values
Raw formation energy in kJ/mol of formula units: -1153
SG: Cmcm, No. 63
Volume in Å³/cell: 429.2
D(E_F) in states/eV per cell: 7.91

The structure in CIF format:
```
data_Tb2NbS5
_symmetry_space_group_name_H-M 'P 1'
_symmetry_Int_Tables_number 1
_cell_length_a 5.178
_cell_length_b 7.071
_cell_length_c 12.598
_cell_angle_alpha 90.00
_cell_angle_beta 90.00
_cell_angle_gamma 111.48
loop_
_symmetry_equiv_pos_as_xyz
'x,y,z'
loop_
_atom_site_label
_atom_site_type_symbol
_atom_site_fract_x
_atom_site_fract_y
_atom_site_fract_z
Tb1 Tb 0.853 0.707 0.437
Tb2 Tb 0.853 0.707 0.063
Tb3 Tb 0.147 0.293 0.563
Tb4 Tb 0.147 0.293 0.937
Nb1 Nb 0.812 0.624 0.750
Nb2 Nb 0.188 0.376 0.250
S1 S 0.951 0.903 0.876
S2 S 0.951 0.903 0.624
S3 S 0.306 0.611 0.413
S4 S 0.306 0.611 0.087
S5 S 0.731 0.462 0.250
S6 S 0.269 0.538 0.750
S7 S 0.694 0.389 0.587
S8 S 0.694 0.389 0.913
S9 S 0.049 0.097 0.124
S10 S 0.049 0.097 0.376
```

Entry 7:
A plane-wave DFT calculation with PBE was carried out for an optimized crystal structure of Tb2NbS4.

Calculated values
Raw formation energy in kJ/mol of formula units: -1059
SG: C2/m, No. 12
Volume in Å³/cell: 158.7
D(E_F) in states/eV per cell: 4.27

The structure in CIF format:
```
data_Tb2NbS4
_symmetry_space_group_name_H-M 'P 1'
_symmetry_Int_Tables_number 1
_cell_length_a 3.835
_cell_length_b 7.029
_cell_length_c 7.206
_cell_angle_alpha 120.77
_cell_angle_beta 105.43
_cell_angle_gamma 90.00
loop_
_symmetry_equiv_pos_as_xyz
'x,y,z'
loop_
_atom_site_label
_atom_site_type_symbol
_atom_site_fract_x
_atom_site_fract_y
_atom_site_fract_z
Tb1 Tb 0.726 0.737 0.452
Tb2 Tb 0.274 0.263 0.548
Nb1 Nb 0.000 0.000 0.000
S1 S 0.888 0.191 0.776
S2 S 0.112 0.809 0.224
S3 S 0.628 0.269 0.256
S4 S 0.372 0.731 0.744
```

Entry 8:
A plane-wave DFT calculation with PBE was carried out for an optimized crystal structure of Tb2NbS6.

Calculated values
Raw formation energy in kJ/mol of formula units: -1096
SG: P4_2/mnm, No. 136
Volume in Å³/cell: 457.4
D(E_F) in states/eV per cell: 12.44

The structure in CIF format:
```
data_Tb2NbS6
_symmetry_space_group_name_H-M 'P 1'
_symmetry_Int_Tables_number 1
_cell_length_a 6.244
_cell_length_b 6.244
_cell_length_c 11.731
_cell_angle_alpha 90.00
_cell_angle_beta 90.00
_cell_angle_gamma 90.00
loop_
_symmetry_equiv_pos_as_xyz
'x,y,z'
loop_
_atom_site_label
_atom_site_type_symbol
_atom_site_fract_x
_atom_site_fract_y
_atom_site_fract_z
Tb1 Tb 0.000 0.000 0.329
Tb2 Tb 0.500 0.500 0.829
Tb3 Tb 0.500 0.500 0.171
Tb4 Tb 0.000 0.000 0.671
Nb1 Nb 0.000 0.000 0.000
Nb2 Nb 0.500 0.500 0.500
S1 S 0.307 0.307 0.352
S2 S 0.693 0.693 0.352
S3 S 0.193 0.807 0.852
S4 S 0.807 0.193 0.852
S5 S 0.193 0.807 0.148
S6 S 0.807 0.193 0.148
S7 S 0.307 0.307 0.648
S8 S 0.693 0.693 0.648
S9 S 0.285 0.285 0.000
S10 S 0.715 0.715 0.000
S11 S 0.215 0.785 0.500
S12 S 0.785 0.215 0.500
```